No. 1
Compound: V5HgS8
Source: Alexandria
Functional: GGA-PBE
Structure: optimized geometry

Calculated values
V = 16.7 Å³/atom
formation energy (no corrections) = -0.847 eV per atom

a b c (Å): 17.609 3.219 8.525
angles (deg): 90.00 104.24 90.00
Space group C2/m (No. 12)
Unique sites:
V 0.000 0.000 0.000 x2
V 0.147 0.500 0.000 x4
V 0.211 0.500 0.359 x4
Hg 0.000 0.500 0.500 x2
S 0.073 0.500 0.183 x4
S 0.085 0.000 0.821 x4
S 0.162 0.000 0.504 x4
S 0.241 0.000 0.160 x4



No. 2
Compound: PmY3Zn
Source: Alexandria
Functional: GGA-PBE
Structure: optimized geometry

Calculated values
V = 30.3 Å³/atom
E above lowest polymorph = 0.0 kJ/mol of formula units
E_form = -0.035 eV/atom

a b c (Å): 26.086 3.661 6.441
angles (deg): 90.00 100.10 90.00
Space group C2/m (No. 12)
Unique sites:
Pm 0.240 0.000 0.244 x4
Y 0.017 0.000 0.248 x4
Y 0.118 0.500 0.044 x4
Y 0.145 0.000 0.549 x4
Zn 0.060 0.500 0.588 x4



Asked for calculated density across the records above, the calculation gives 5.047, 5.233 g/cm³ in order.